A plane-wave DFT calculation with PBE was carried out for CuSO4 after structural relaxation.

Values from the calculation:
DOS(E_F): 0.265 states/eV per atom
Density: 3.31 g/cm3
Crystal system: orthorhombic
Formation energy (no corrections): -5.92 eV per formula unit

a b c (Å): 4.2721 8.8206 4.2445
angles (deg): 90.00 90.00 90.00
Closest atoms and distances in Å follow each position.
Space group Pban (No. 50, origin choice 2)
Symmetry-distinct sites (fractional):
Cu (0.2500, 0.2500, 0.0000) (multiplicity 2)  4 O 1.99
S (0.2500, 0.7500, 0.5000) (multiplicity 2)  4 O 1.49
O (0.0488, 0.6519, 0.2972) (multiplicity 8)  1 S 1.49